No. 1
Computed, not measured: Ac2Nd4Tm5 after structural relaxation at the PBE level of DFT.

Raw total energy (eV per cell): -48.1
Energy of formation from the pure elements (eV per atom): 0.142
Fermi-level density of states (states/eV/f.u.): 13.593

Lattice parameters (Å, degrees): 3.649 9.363 11.984 108.29 90.00 90.00
Positions (direct):
Tm 0.000 0.504 0.359
Tm 0.000 0.092 0.901
Tm 0.000 0.500 0.000
Nd 0.500 0.250 0.149
Nd 0.500 0.243 0.727
Nd 0.500 0.750 0.851
Tm 0.000 0.496 0.641
Nd 0.500 0.757 0.273
Ac 0.000 0.859 0.590
Ac 0.000 0.141 0.410
Tm 0.000 0.908 0.099

=====

No. 2
Computed, not measured: LaMo after structural relaxation at the PBE level of DFT.

Raw total energy (eV per cell): -27.9
Energy of formation from the pure elements (eV per atom): 0.892
Offset from the most stable computed form (meV/atom): 651.6
Fermi-level density of states (states/eV/f.u.): 2.670

Lattice parameters (Å, degrees): 3.448 3.448 8.933 90.00 90.00 120.00
Positions (direct):
Mo 0.333 0.667 0.250
La 0.000 0.000 0.500
Mo 0.667 0.333 0.750
La 0.000 0.000 0.000